Entry 1:
AgPt2Rh | Alexandria | PBE | optimized geometry; E above lowest polymorph = 1.82 kcal/mol of atoms; size of the total moment = 0.0 μB per formula unit; space-group type = No. 47
1.0
2.791 0.000 0.000
0.000 3.957 0.000
0.000 0.000 5.703
Ag Pt Rh
1 2 1
Direct
0.000 0.000 0.000
0.500 0.500 0.263
0.500 0.500 0.737
0.000 0.000 0.500

Entry 2:
Ag2PtRh | Alexandria | PBE | optimized geometry; E above lowest polymorph = 2.95 kcal/mol of atoms; size of the total moment = 0.9 μB per formula unit; space-group type = No. 47
1.0
2.748 0.000 0.000
0.000 4.258 0.000
0.000 0.000 5.587
Ag Pt Rh
2 1 1
Direct
0.000 0.000 0.248
0.000 0.000 0.752
0.500 0.500 0.500
0.500 0.500 0.000

Entry 3:
AgPtRh3 | Alexandria | PBE | optimized geometry; E above lowest polymorph = 0.00 kcal/mol of atoms; size of the total moment = 2.6 μB per formula unit; space-group type = No. 221
1.0
4.791 0.000 0.000
0.000 4.791 0.000
0.000 0.000 4.791
Ag Pt Rh
1 1 3
Direct
0.000 0.000 0.000
0.500 0.500 0.500
0.000 0.500 0.500
0.500 0.000 0.500
0.500 0.500 0.000

Entry 4:
Ag2PtRh | Alexandria | PBE | optimized geometry; E above lowest polymorph = 3.70 kcal/mol of atoms; size of the total moment = 1.1 μB per formula unit; space-group type = No. 216
1.0
6.409 0.000 0.000
0.000 6.409 0.000
0.000 0.000 6.409
Ag Pt Rh
8 4 4
Direct
0.000 0.000 0.000
0.000 0.500 0.500
0.250 0.250 0.250
0.250 0.750 0.750
0.500 0.000 0.500
0.500 0.500 0.000
0.750 0.250 0.750
0.750 0.750 0.250
0.000 0.000 0.500
0.000 0.500 0.000
0.500 0.000 0.000
0.500 0.500 0.500
0.250 0.250 0.750
0.250 0.750 0.250
0.750 0.250 0.250
0.750 0.750 0.750

Entry 5:
Ag2PtRh | Alexandria | PBE | optimized geometry; E above lowest polymorph = 3.05 kcal/mol of atoms; size of the total moment = 0.8 μB per formula unit; space-group type = No. 139
1.0
3.927 0.000 0.000
0.000 3.927 0.000
0.000 0.000 8.451
Ag Pt Rh
4 2 2
Direct
0.000 0.500 0.250
0.000 0.500 0.750
0.500 0.000 0.250
0.500 0.000 0.750
0.000 0.000 0.000
0.500 0.500 0.500
0.000 0.000 0.500
0.500 0.500 0.000

Entry 6:
AgPt2Rh | Alexandria | PBE | optimized geometry; E above lowest polymorph = 2.37 kcal/mol of atoms; size of the total moment = 0.0 μB per formula unit; space-group type = No. 65
1.0
2.764 0.000 0.000
0.000 4.776 0.000
0.000 0.000 9.652
Ag Pt Rh
2 4 2
Direct
0.000 0.000 0.000
0.500 0.500 0.000
0.000 0.500 0.258
0.000 0.500 0.742
0.500 0.000 0.258
0.500 0.000 0.742
0.000 0.000 0.500
0.500 0.500 0.500

Entry 7:
AgPt2Rh | Alexandria | PBE | optimized geometry; E above lowest polymorph = 3.20 kcal/mol of atoms; size of the total moment = 0.0 μB per formula unit; space-group type = No. 35
1.0
2.764 0.000 0.000
0.000 4.773 0.000
0.000 0.000 9.659
Ag Pt Rh
2 4 2
Direct
0.000 0.000 0.000
0.500 0.500 0.000
0.000 0.000 0.509
0.000 0.500 0.257
0.500 0.000 0.257
0.500 0.500 0.509
0.000 0.500 0.748
0.500 0.000 0.748

Entry 8:
AgPtRh2 | Alexandria | PBE | optimized geometry; E above lowest polymorph = 12.32 kcal/mol of atoms; size of the total moment = 0.0 μB per formula unit; space-group type = No. 122
1.0
7.160 0.000 0.000
0.000 7.160 0.000
0.000 0.000 5.366
Ag Pt Rh
4 4 8
Direct
0.000 0.000 0.000
0.000 0.500 0.250
0.500 0.000 0.750
0.500 0.500 0.500
0.000 0.000 0.500
0.000 0.500 0.750
0.500 0.000 0.250
0.500 0.500 0.000
0.229 0.750 0.625
0.250 0.229 0.375
0.250 0.271 0.875
0.271 0.750 0.125
0.729 0.250 0.125
0.750 0.729 0.875
0.750 0.771 0.375
0.771 0.250 0.625

Entry 9:
AgPtRh | Alexandria | PBE | optimized geometry; E above lowest polymorph = 5.89 kcal/mol of atoms; size of the total moment = 0.0 μB per formula unit; space-group type = No. 107
1.0
3.315 0.000 0.000
0.000 3.315 0.000
0.000 0.000 8.826
Ag Pt Rh
2 2 2
Direct
0.000 0.000 0.000
0.500 0.500 0.500
0.000 0.000 0.321
0.500 0.500 0.821
0.000 0.000 0.679
0.500 0.500 0.179

Entry 10:
AgPt2Rh | Alexandria | PBE | optimized geometry; E above lowest polymorph = 2.60 kcal/mol of atoms; size of the total moment = 0.0 μB per formula unit; space-group type = No. 119
1.0
3.979 0.000 0.000
0.000 3.979 0.000
0.000 0.000 7.921
Ag Pt Rh
2 4 2
Direct
0.000 0.000 0.000
0.500 0.500 0.500
0.000 0.000 0.500
0.000 0.500 0.750
0.500 0.000 0.250
0.500 0.500 0.000
0.000 0.500 0.250
0.500 0.000 0.750

Entry 11:
AgPtRh2 | Alexandria | PBE | optimized geometry; E above lowest polymorph = 3.40 kcal/mol of atoms; size of the total moment = 0.0 μB per formula unit; space-group type = No. 71
1.0
2.771 0.000 0.000
0.000 4.733 0.000
0.000 0.000 9.584
Ag Pt Rh
2 2 4
Direct
0.000 0.000 0.000
0.500 0.500 0.500
0.000 0.000 0.500
0.500 0.500 0.000
0.000 0.500 0.236
0.000 0.500 0.764
0.500 0.000 0.264
0.500 0.000 0.736

Entry 12:
AgPtRh | Alexandria | PBE | optimized geometry; E above lowest polymorph = 4.01 kcal/mol of atoms; size of the total moment = 1.1 μB per formula unit; space-group type = No. 44
1.0
2.785 0.000 0.000
0.000 3.999 0.000
0.000 0.000 8.538
Ag Pt Rh
2 2 2
Direct
0.000 0.000 0.000
0.500 0.500 0.500
0.000 0.000 0.673
0.500 0.500 0.173
0.000 0.000 0.328
0.500 0.500 0.828

Entry 13:
AgPtRh | Alexandria | PBE | optimized geometry; E above lowest polymorph = 2.77 kcal/mol of atoms; size of the total moment = 0.9 μB per formula unit; space-group type = No. 107
1.0
2.778 0.000 0.000
0.000 2.778 0.000
0.000 0.000 12.366
Ag Pt Rh
2 2 2
Direct
0.000 0.000 0.000
0.500 0.500 0.500
0.000 0.000 0.325
0.500 0.500 0.825
0.000 0.000 0.672
0.500 0.500 0.172

Entry 14:
AgPt9Rh2 | Alexandria | PBE | optimized geometry; size of the total moment = 0.0 μB per formula unit; space-group type = No. 123
1.0
3.955 0.000 0.000
0.000 3.955 0.000
0.000 0.000 11.924
Ag Pt Rh
1 9 2
Direct
0.000 0.000 0.000
0.000 0.500 0.171
0.000 0.500 0.500
0.000 0.500 0.829
0.500 0.000 0.171
0.500 0.000 0.500
0.500 0.000 0.829
0.500 0.500 0.000
0.500 0.500 0.334
0.500 0.500 0.666
0.000 0.000 0.339
0.000 0.000 0.661

Entry 15:
Ag2PtRh | Alexandria | PBE | optimized geometry; E above lowest polymorph = 1.58 kcal/mol of atoms; size of the total moment = 0.5 μB per formula unit; space-group type = No. 10
1.0
2.752 0.000 0.000
0.000 4.871 0.000
-0.106 0.000 4.882
Ag Pt Rh
2 1 1
Direct
0.247 0.000 0.249
0.753 0.000 0.751
0.000 0.500 0.500
0.500 0.500 0.000

Entry 16:
Ag2PtRh | Alexandria | PBE | optimized geometry; E above lowest polymorph = 2.03 kcal/mol of atoms; size of the total moment = 0.0 μB per formula unit; space-group type = No. 99
1.0
3.269 0.000 0.000
0.000 3.269 0.000
0.000 0.000 6.243
Ag Pt Rh
2 1 1
Direct
0.000 0.000 0.000
0.500 0.500 0.260
0.000 0.000 0.533
0.500 0.500 0.731

Entry 17:
AgPtRh2 | Alexandria | PBE | optimized geometry; E above lowest polymorph = 4.32 kcal/mol of atoms; size of the total moment = 0.0 μB per formula unit; space-group type = No. 123
1.0
3.285 0.000 0.000
0.000 3.285 0.000
0.000 0.000 5.790
Ag Pt Rh
1 1 2
Direct
0.000 0.000 0.000
0.000 0.000 0.500
0.500 0.500 0.265
0.500 0.500 0.735

Entry 18:
Ag2PtRh | Alexandria | PBE | optimized geometry; E above lowest polymorph = 1.80 kcal/mol of atoms; size of the total moment = 0.6 μB per formula unit; space-group type = No. 65
1.0
2.816 0.000 0.000
0.000 4.753 0.000
0.000 0.000 9.801
Ag Pt Rh
4 2 2
Direct
0.000 0.000 0.247
0.000 0.000 0.753
0.500 0.500 0.247
0.500 0.500 0.753
0.000 0.500 0.500
0.500 0.000 0.500
0.000 0.500 0.000
0.500 0.000 0.000

Entry 19:
AgPtRh2 | Alexandria | PBE | optimized geometry; E above lowest polymorph = 1.58 kcal/mol of atoms; size of the total moment = 0.0 μB per formula unit; space-group type = No. 25
1.0
2.774 0.000 0.000
0.000 3.882 0.000
0.000 0.000 5.723
Ag Pt Rh
1 1 2
Direct
0.000 0.000 0.000
0.500 0.500 0.262
0.000 0.000 0.509
0.500 0.500 0.732

Entry 20:
AgPtRh2 | Alexandria | PBE | optimized geometry; E above lowest polymorph = 0.20 kcal/mol of atoms; size of the total moment = 0.0 μB per formula unit; space-group type = No. 99
1.0
2.773 0.000 0.000
0.000 2.773 0.000
0.000 0.000 8.026
Ag Pt Rh
1 1 2
Direct
0.000 0.000 0.000
0.500 0.500 0.270
0.000 0.000 0.512
0.500 0.500 0.734

Number 1: E_tot -5.502 eV per atom, calculated formation energy 0.3 eV per formula unit. Number 2: E_tot -4.563 eV per atom, calculated formation energy 0.8 eV per formula unit. Number 3: E_tot -4.801 eV per atom, calculated formation energy 6.9 eV per formula unit. Number 4: E_tot -4.531 eV per atom, calculated formation energy 1.0 eV per formula unit. Number 5: E_tot -4.559 eV per atom, calculated formation energy 0.9 eV per formula unit. Number 6: E_tot -5.478 eV per atom, calculated formation energy 0.4 eV per formula unit. Number 7: E_tot -5.442 eV per atom, calculated formation energy 0.5 eV per formula unit. Number 8: E_tot -5.300 eV per atom, calculated formation energy 2.4 eV per formula unit. Number 9: E_tot -5.163 eV per atom, calculated formation energy 0.8 eV per formula unit. Number 10: E_tot -5.468 eV per atom, calculated formation energy 0.4 eV per formula unit. Number 11: E_tot -5.686 eV per atom, calculated formation energy 0.8 eV per formula unit. Number 12: E_tot -5.245 eV per atom, calculated formation energy 0.5 eV per formula unit. Number 13: E_tot -5.298 eV per atom, calculated formation energy 0.3 eV per formula unit. Number 14: E_tot -5.995 eV per atom, calculated formation energy 0.0 eV per formula unit. Number 15: E_tot -4.623 eV per atom, calculated formation energy 0.6 eV per formula unit. Number 16: E_tot -4.603 eV per atom, calculated formation energy 0.7 eV per formula unit. Number 17: E_tot -5.646 eV per atom, calculated formation energy 1.0 eV per formula unit. Number 18: E_tot -4.613 eV per atom, calculated formation energy 0.6 eV per formula unit. Number 19: E_tot -5.765 eV per atom, calculated formation energy 0.5 eV per formula unit. Number 20: E_tot -5.825 eV per atom, calculated formation energy 0.3 eV per formula unit.